[1]
Compound: MnWBr2
Source: the Alexandria database
Functional: PBE-GGA
Structure: relaxed

Values from the calculation:
Its relative energy among the computed polymorphs is 2.066 eV per formula unit. For the formation energy from raw total energies, the calculation gives 2.69 eV per formula unit.

```
4
Lattice="6.680 0.003 0.002 4.309 5.104 -0.002 -5.057 -3.495 2.614" Properties=species:S:1:pos:R:3 pbc="T T T"
Br 10.400 4.833 0.000
Br 2.186 1.995 1.306
Mn 6.366 2.959 0.000
W 3.464 -0.513 1.308
```

***

[2]
Compound: AcCeNdAg
Source: the Alexandria database
Functional: PBE-GGA
Structure: relaxed

Values from the calculation:
Its total energy is -4.21 eV/atom.

```
4
Lattice="-1.481 -4.371 -3.152 2.393 -4.982 0.831 -2.958 -4.182 2.235" Properties=species:S:1:pos:R:3 pbc="T T T"
Ac 0.000 0.000 0.000
Nd -0.511 -3.384 -0.021
Ag -1.023 -6.768 -0.043
Ce -1.534 -10.152 -0.064
```

***

[3]
Compound: GaIrRuO6
Source: the Alexandria database
Functional: PBE-GGA
Structure: relaxed

Values from the calculation:
For the formation energy from raw total energies, the calculation gives -9.13 eV per formula unit.

```
18
Lattice="-2.741 -4.267 -0.010 1.855 1.833 -4.350 7.065 -4.541 1.099" Properties=species:S:1:pos:R:3 pbc="T T T"
Ga 2.089 -1.335 -2.629
Ga 4.090 -5.639 -0.633
Ir 0.557 -3.369 -1.182
Ir 5.622 -3.606 -2.079
Ru 0.000 0.000 0.000
Ru 3.533 -2.270 0.549
O 0.303 -2.188 -2.766
O 1.508 0.037 -1.319
O 3.506 -4.270 0.679
O 4.672 -7.012 -1.942
O 2.350 -2.509 -1.050
O 3.875 -0.483 -2.487
O 4.352 -6.809 0.948
O 2.673 -2.705 -3.940
O 2.304 -6.492 -0.775
O 1.827 -0.165 -4.209
O 3.830 -4.466 -2.211
O 5.876 -4.787 -0.495
```